[1]
VASP calculation (PBE) on a relaxed K2BaYW crystal.

The structure in CIF format:
```
data_K2BaYW
_chemical_formula_sum 'K2 Ba1 Y1 W1'
_space_group_name_H-M_alt 'P 4/m m m'
_space_group_IT_number 123
_space_group_name_Hall '-P 4 2'
_cell_length_a 6.631
_cell_length_b 6.631
_cell_length_c 6.730
_cell_angle_alpha 90.00
_cell_angle_beta 90.00
_cell_angle_gamma 90.00
loop_
_atom_site_label
_atom_site_type_symbol
_atom_site_fract_x
_atom_site_fract_y
_atom_site_fract_z
K1 K 0.000 0.500 0.000
Ba1 Ba 0.000 0.000 0.500
Y1 Y 0.000 0.000 0.000
W1 W 0.500 0.500 0.500
```

=====

[2]
VASP calculation (PBE) on a relaxed Sr6Li2Pd crystal.

The structure in CIF format:
```
data_Sr6Li2Pd
_chemical_formula_sum 'Sr12 Li4 Pd2'
_space_group_name_H-M_alt 'P 1 21/c 1'
_space_group_IT_number 14
_cell_length_a 7.521
_cell_length_b 8.983
_cell_length_c 13.656
_cell_angle_alpha 90.00
_cell_angle_beta 123.22
_cell_angle_gamma 90.00
loop_
_space_group_symop_operation_xyz
'x,y,z'
'-x,-y,-z'
'-x,y+1/2,-z+1/2'
'x,-y+1/2,z+1/2'
loop_
_atom_site_label
_atom_site_type_symbol
_atom_site_fract_x
_atom_site_fract_y
_atom_site_fract_z
Sr1 Sr 0.096 0.193 0.446
Sr2 Sr 0.285 0.673 0.447
Sr3 Sr 0.372 0.028 0.251
Li1 Li 0.173 0.110 0.744
Pd1 Pd 0.000 0.000 0.000
```

=====

no.,total DFT energy (no corrections) (eV/atom)
1,-2.64
2,-2.26